Below is an optimized crystal structure of Be3C, with properties calculated at the PBE level.

Computed properties:
ΔH_f (0 K), eV per atom: 0.7986
Magnetization, μB/f.u.: 0.000
Raw total energy, eV/atom: -4.302
Symmetry: No. 223
E above lowest polymorph, eV per atom: 0.592

Lattice parameters (Å, degrees): 3.833 3.833 3.833 90.00 90.00 90.00
Sites, in units of the cell vectors:
Be 0.000 0.250 0.500
Be 0.000 0.750 0.500
Be 0.250 0.500 0.000
Be 0.500 0.000 0.250
Be 0.500 0.000 0.750
Be 0.750 0.500 0.000
C 0.000 0.000 0.000
C 0.500 0.500 0.500